Material: MnNb4O12
Method: DFT, SCAN
State: single point on PBEsol structure

Calculated values
As for the formation energy from raw total energies: -2.5681 eV/atom. Its crystal system is triclinic. The magnetic moment is 0.175 μB per atom. Its calculated total energy is -15.836 eV per atom.

Cell lengths 5.0808, 5.5641, 7.6199 Å; angles 83.88, 88.92, 89.83 degrees
Last column: nearest neighbours and their distance in Å.
Element x y z (fractional)
Mn1 0.0053 0.3888 0.7070  6 O 1.83-1.97
Nb1 0.9773 0.0013 0.0244  3 O 1.84-2.01
Nb2 0.5131 0.5303 0.4896  4 O 1.82-2.00
Nb3 0.0138 0.9949 0.5033  3 O 1.86-1.97
Nb4 0.4771 0.5103 0.0018  4 O 1.83-2.04
O1 0.7278 0.2471 0.5878  1 Mn 1.91, 1 Nb 2.00
O2 0.8780 0.0355 0.2769  2 Nb 1.86-2.01
O3 0.6843 0.8408 0.9616  1 Nb 1.84
O4 0.8430 0.6894 0.5983  1 Mn 1.97, 2 Nb 1.97-2.12
O5 0.1909 0.7306 0.0633  2 Nb 1.85-1.98
O6 0.6051 0.5179 0.2590  1 Nb 1.82
O7 0.3249 0.5268 0.7601  1 Mn 1.87, 1 Nb 2.00
O8 0.8208 0.3642 0.9191  1 Mn 1.85, 1 Nb 2.04
O9 0.1891 0.3447 0.4856  2 Nb 1.95-2.13, 1 Mn 1.95
O10 0.3006 0.2301 0.0740  1 Nb 1.83
O11 0.1071 0.0744 0.7654  1 Mn 1.83
O12 0.3418 0.8545 0.4637  2 Nb 1.87-1.99


Material: ZrCdIn2Co
Method: DFT, SCAN
State: single point on PBEsol structure

Calculated values
Its crystal system is tetragonal. The magnetic moment is 0.435 μB per atom. The calculation puts the formation energy at 1.190 eV/atom. Its calculated total energy is -27.848 eV per atom.

Cell lengths 5.0240, 5.0240, 5.3302 Å; angles 90.00, 90.00, 90.00 degrees
Last column: nearest neighbours and their distance in Å.
Element x y z (fractional)
Cd1 0.0000 0.0000 0.0000  4 In 2.51, 2 Zr 2.67
Co1 0.5000 0.5000 0.5000  4 Zr 3.55, 8 In 3.66
Zr1 0.0000 0.0000 0.5000  2 Cd 2.67
In1 0.0000 0.5000 0.0000  2 Cd 2.51
In2 0.5000 0.0000 0.0000  2 Cd 2.51


Material: NdCdAu2
Method: DFT, SCAN
State: single point on PBEsol structure

Calculated values
Its crystal system is cubic. The magnetic moment is 0.000 μB per atom. The calculation puts the formation energy at -0.785 eV/atom. Its calculated total energy is -53.862 eV per atom.

Cell lengths 4.9368, 4.9368, 4.9368 Å; angles 60.00, 60.00, 60.00 degrees
Last column: nearest neighbours and their distance in Å.
Element x y z (fractional)
Au1 0.7500 0.7500 0.7500  4 Cd 3.02, 4 Nd 3.02
Au2 0.2500 0.2500 0.2500  4 Cd 3.02, 4 Nd 3.02
Nd1 0.5000 0.5000 0.5000  8 Au 3.02
Cd1 0.0000 0.0000 0.0000  8 Au 3.02


Material: Y2ZnSi
Method: DFT, SCAN
State: single point on PBEsol structure

Calculated values
As for the formation energy from raw total energies: -0.4666 eV/atom. Its crystal system is trigonal. The magnetic moment is 0.000 μB per atom. Its calculated total energy is -20.271 eV per atom.

Cell lengths 3.9945, 3.9945, 7.2061 Å; angles 73.91, 73.91, 60.00 degrees
Last column: nearest neighbours and their distance in Å.
Element x y z (fractional)
Si1 0.2010 0.2010 0.3969  3 Zn 2.33
Y1 0.9715 0.9715 0.0854  3 Zn 2.93, 3 Si 3.14
Y2 0.7771 0.7771 0.6687  3 Si 2.96, 3 Zn 3.17
Zn1 0.5503 0.5503 0.3491  3 Si 2.33


What did we get for calculated density? Answer: 4.80 6.08 12.70 4.78 g/cm3, in the order shown.